No. 1
VASP calculation (PBE-GGA) on a relaxed LiSmEuMn crystal.

Structure (extended XYZ):
```
4
Lattice="0.0000 3.7035 3.7035 3.7035 0.0000 3.7035 3.7035 3.7035 0.0000" Properties=species:S:1:pos:R:3 pbc="T T T"
Li 0.0000 0.0000 0.0000
Sm 1.8517 1.8517 1.8517
Eu 5.5552 5.5552 5.5552
Mn 3.7035 3.7035 3.7035
```

Results
calculated volume = 25.4 Å³/atom
total energy = -6.264 eV/atom
symmetry = F-43m, No. 216
ΔE_f = 255 meV per atom
crystal system = cubic
spin magnetization = 9.9 μB per formula unit

***

No. 2
VASP calculation (PBE-GGA) on a relaxed YPuS2O crystal.

Structure (extended XYZ):
```
10
Lattice="3.8605 0.0000 0.0000 0.0000 3.8605 0.0000 0.0000 0.0000 13.7487" Properties=species:S:1:pos:R:3 pbc="T T T"
Y 0.9651 0.9651 1.6397
Y 2.8954 2.8954 12.1091
Pu 0.9651 0.9651 8.1283
Pu 2.8954 2.8954 5.6204
S 0.9651 0.9651 4.2388
S 0.9651 0.9651 12.4770
S 2.8954 2.8954 1.2717
S 2.8954 2.8954 9.5099
O 0.9651 2.8954 6.8744
O 2.8954 0.9651 6.8744
```

Results
calculated volume = 20.5 Å³/atom
total energy = -9.129 eV/atom
symmetry = P4/nmm, No. 129
crystal system = tetragonal
spin magnetization = 4.7 μB per formula unit
energy relative to the elements, uncorrected = -2327 meV/atom

***

No. 3
VASP calculation (PBE-GGA) on a relaxed ThSc5Ga3 crystal.

Structure (extended XYZ):
```
18
Lattice="8.5144 0.0000 0.0000 -4.2572 7.3737 0.0000 0.0000 0.0000 6.2417" Properties=species:S:1:pos:R:3 pbc="T T T"
Th 0.0000 0.0000 0.0000
Th 0.0000 0.0000 3.1208
Sc -1.4205 2.4604 1.5604
Sc -2.8367 4.9133 4.6813
Sc 0.0000 4.9158 0.0000
Sc 0.0000 4.9158 3.1208
Sc 2.8410 0.0000 1.5604
Sc 1.4205 2.4604 4.6813
Sc 5.6734 0.0000 4.6813
Sc 2.8367 4.9133 1.5604
Sc 4.2572 2.4579 0.0000
Sc 4.2572 2.4579 3.1208
Ga -1.4646 2.5367 4.6813
Ga -2.7926 4.8370 1.5604
Ga 2.9292 0.0000 4.6813
Ga 1.4646 2.5367 1.5604
Ga 5.5853 0.0000 1.5604
Ga 2.7926 4.8370 4.6813
```

Results
calculated volume = 21.8 Å³/atom
total energy = -5.780 eV/atom
symmetry = P6_3/mcm, No. 193
ΔE_f = -430 meV per atom
crystal system = hexagonal
spin magnetization = 0.0 μB per formula unit